(1)
The following is a GGA-PBE calculation of crystalline Th3FeSn at its relaxed geometry, from Alexandria via LeMat-Bulk.

ρ ... 10.3 Mg/m³
Fermi-level density of states ... 22.3 states/eV/cell
Calculated formation energy ... -0.1891 eV/atom
Calculated volume ... 563.5 Å³ per cell
Raw total energy ... -7.13 eV per atom

Structure (POSCAR):
```
Th3FeSn
1.0
6.608 0.000 0.000
0.000 7.659 -0.071
0.000 -1.237 11.146
Th Sn Fe
12 4 4
Direct
0.832 0.388 0.399
0.581 0.784 0.417
0.910 0.064 0.654
0.410 0.936 0.846
0.919 0.784 0.917
0.590 0.064 0.154
0.668 0.388 0.899
0.332 0.612 0.101
0.081 0.216 0.083
0.419 0.216 0.583
0.090 0.936 0.346
0.168 0.612 0.601
0.826 0.612 0.163
0.674 0.612 0.663
0.326 0.388 0.337
0.174 0.388 0.837
0.774 0.087 0.909
0.274 0.913 0.591
0.726 0.087 0.409
0.226 0.913 0.091
```

(2)
The following is a GGA-PBE calculation of crystalline KLiPdO2 at its relaxed geometry, from Alexandria via LeMat-Bulk.

ρ ... 3.9 Mg/m³
Raw formation energy ... -5.2 eV per formula unit
Calculated volume ... 156.0 Å³ per cell
Raw total energy ... -4.67 eV per atom

Structure (POSCAR):
```
KLiPdO2
1.0
-3.155 1.257 -1.515
1.814 -2.483 -5.836
-3.783 -4.244 4.357
Pd K Li O
2 2 2 4
Direct
0.500 0.250 0.000
0.500 0.750 0.000
0.001 0.750 0.500
0.999 0.250 0.500
0.000 0.500 0.000
0.000 0.000 0.000
0.500 0.900 0.800
0.500 0.100 0.200
0.500 0.400 0.800
0.500 0.600 0.200
```

(3)
The following is a GGA-PBE calculation of crystalline Sm3Dy6Y2Mg at its relaxed geometry, from Alexandria via LeMat-Bulk.

ρ ... 7.1 Mg/m³
Fermi-level density of states ... 17.6 states/eV/cell
Calculated formation energy ... 0.0296 eV/atom
Calculated volume ... 378.9 Å³ per cell
Raw total energy ... -4.66 eV per atom

Structure (POSCAR):
```
Sm3Dy6Y2Mg
1.0
6.156 -0.003 0.008
-3.079 5.330 0.008
-1.050 -1.818 11.547
Y Mg Dy Sm
2 1 6 3
Direct
0.666 0.334 0.000
0.334 0.666 0.000
0.000 0.000 0.000
0.413 0.081 0.247
0.587 0.919 0.753
0.919 0.587 0.753
0.749 0.749 0.248
0.251 0.251 0.752
0.081 0.413 0.247
0.166 0.834 0.500
0.500 0.500 0.500
0.834 0.166 0.500
```

(4)
The following is a GGA-PBE calculation of crystalline GaNi5Pt at its relaxed geometry, from Alexandria via LeMat-Bulk.

ρ ... 10.2 Mg/m³
Fermi-level density of states ... 20.8 states/eV/cell
Calculated formation energy ... 0.0060 eV/atom
Calculated volume ... 181.5 Å³ per cell
Raw total energy ... -5.42 eV per atom

Structure (POSCAR):
```
GaNi5Pt
1.0
4.896 -0.232 0.437
1.333 4.716 0.437
2.720 1.958 8.138
Ni Pt Ga
10 2 2
Direct
0.514 0.750 0.000
0.156 0.413 0.242
0.413 0.156 0.742
0.844 0.587 0.758
0.101 0.899 0.250
0.587 0.844 0.258
0.250 0.486 0.500
0.486 0.250 0.000
0.899 0.101 0.750
0.750 0.514 0.500
0.676 0.324 0.250
0.324 0.676 0.750
0.000 0.000 0.500
0.000 0.000 0.000
```

(5)
The following is a GGA-PBE calculation of crystalline Sm3CdAg at its relaxed geometry, from Alexandria via LeMat-Bulk.

ρ ... 7.9 Mg/m³
Fermi-level density of states ... 10.4 states/eV/cell
Calculated formation energy ... -0.2156 eV/atom
Calculated volume ... 282.3 Å³ per cell
Raw total energy ... -3.80 eV per atom

Structure (POSCAR):
```
Sm3CdAg
1.0
5.166 0.000 1.181
0.000 5.298 0.000
0.343 0.000 10.392
Sm Ag Cd
6 2 2
Direct
0.575 0.250 0.499
0.074 0.750 0.501
0.388 0.250 0.873
0.763 0.250 0.123
0.260 0.750 0.127
0.885 0.750 0.877
0.166 0.250 0.316
0.482 0.750 0.684
0.670 0.750 0.309
0.979 0.250 0.691
```

(6)
The following is a GGA-PBE calculation of crystalline K2LiSb2 at its relaxed geometry, from Alexandria via LeMat-Bulk.

ρ ... 3.1 Mg/m³
Raw formation energy ... -0.4 eV per formula unit
Fermi-level density of states ... 5.7 states/eV/cell
Calculated volume ... 350.5 Å³ per cell
Raw total energy ... -2.55 eV per atom

Structure (POSCAR):
```
K2LiSb2
1.0
-9.969 1.500 -2.089
-2.518 -7.401 6.700
-0.169 2.247 2.419
Sb Li K
4 2 4
Direct
0.819 0.319 0.500
0.681 0.819 0.500
0.181 0.681 0.500
0.319 0.181 0.500
0.000 0.000 0.000
0.500 0.500 0.000
0.118 0.382 0.000
0.882 0.618 0.000
0.618 0.118 0.000
0.382 0.882 0.000
```

(7)
The following is a GGA-PBE calculation of crystalline Ba2GePb at its relaxed geometry, from Alexandria via LeMat-Bulk.

ρ ... 5.8 Mg/m³
Fermi-level density of states ... 3.1 states/eV/cell
Calculated formation energy ... -0.4885 eV/atom
Calculated volume ... 318.2 Å³ per cell
Raw total energy ... -3.53 eV per atom

Structure (POSCAR):
```
Ba2GePb
1.0
-3.415 4.423 -1.840
0.226 1.240 -6.597
-7.152 -4.854 -2.769
Ba Pb Ge
4 2 2
Direct
0.994 0.648 0.169
0.653 0.197 0.442
0.894 0.607 0.682
0.347 0.029 0.994
0.672 0.364 0.031
0.350 0.803 0.399
0.206 0.062 0.635
0.852 0.054 0.816
```

(8)
The following is a GGA-PBE calculation of crystalline RbBeSe2N at its relaxed geometry, from Alexandria via LeMat-Bulk.

ρ ... 4.0 Mg/m³
Raw formation energy ... 0.8 eV per formula unit
Fermi-level density of states ... 5.0 states/eV/cell
Calculated volume ... 110.1 Å³ per cell
Raw total energy ... -3.84 eV per atom

Structure (POSCAR):
```
RbBeSe2N
1.0
-5.019 -1.466 2.918
-1.782 -3.254 -4.700
1.403 -2.465 1.175
Se Rb Be N
2 1 1 1
Direct
0.000 0.500 0.000
0.500 0.000 0.000
0.500 0.500 0.500
0.000 0.000 0.000
0.000 0.000 0.500
```

Among the records above, which one has the highest calculated volume?
Th3FeSn

Which value of ρ does entry 3 give?
7.1 Mg/m³